An optimized crystal structure of Na2TlInAg, computed with PBE-GGA.

Cell and atoms, written as extended XYZ:
```
5
Lattice="-2.101 4.884 -1.541 -4.504 -2.555 -1.957 -2.316 0.485 4.697" Properties=species:S:1:pos:R:3 pbc="T T T"
In -1.158 0.243 2.348
Ag 0.000 0.000 0.000
Na -2.252 -1.278 -0.979
Tl -4.461 1.407 0.599
Na -1.051 2.442 -0.770
```

Energy relative to the elements ... 46 kJ/mol of formula units
Calculated volume ... 32.23 A^3/atom
Density of states at the Fermi level ... 0.65 states/eV/atom